(1)
The following is a DFT calculation (PBE) of an optimized crystal structure of CdCu2P.

a b c (Å): 3.875 3.919 7.897
angles (deg): 90.00 90.00 90.00
Space group Immm (No. 71)
Unique sites:
Cd  0.000  0.000  0.000 x2
Cu  0.000  0.500  0.248 x4
P  0.000  0.000  0.500 x2

total magnetic moment: 0.0000 μB/atom
energy: -3.400 eV per atom
density: 7.49 g/cm³
ΔE to the lowest computed polymorph: 114 meV/atom
energy of formation from the pure elements: 0.23 eV/atom

***

(2)
The following is a DFT calculation (PBE) of an optimized crystal structure of Cd2CuP.

a b c (Å): 4.187 4.199 8.228
angles (deg): 90.00 90.00 90.00
Space group Immm (No. 71)
Unique sites:
Cd  0.000  0.000  0.250 x4
Cu  0.000  0.500  0.000 x2
P  0.000  0.500  0.500 x2

total magnetic moment: 0.0000 μB/atom
energy: -2.556 eV per atom
density: 7.33 g/cm³
energy of formation from the pure elements: 0.28 eV/atom

***

(3)
The following is a DFT calculation (PBE) of an optimized crystal structure of CdCuP2.

a b c (Å): 2.693 3.818 7.216
angles (deg): 90.00 90.00 90.00
Space group Pmm2 (No. 25)
Unique sites:
Cd  0.000  0.000  0.000 x1
Cu  0.500  0.500  0.465 x1
P  0.000  0.000  0.358 x1
P  0.500  0.500  0.793 x1

total magnetic moment: 0.0000 μB/atom
energy: -3.739 eV per atom
density: 5.33 g/cm³
energy of formation from the pure elements: 0.22 eV/atom

***

(4)
The following is a DFT calculation (PBE) of an optimized crystal structure of CdCu2P.

a b c (Å): 2.922 3.215 6.403
angles (deg): 90.00 90.00 90.00
Space group Pmmm (No. 47)
Unique sites:
Cd  0.000  0.000  0.000 x1
Cu  0.500  0.500  0.293 x2
P  0.000  0.000  0.500 x1

total magnetic moment: 0.0000 μB/atom
energy: -3.467 eV per atom
density: 7.47 g/cm³
ΔE to the lowest computed polymorph: 47 meV/atom
energy of formation from the pure elements: 0.16 eV/atom